Compound: La2ScInCl
Source: the Alexandria database
Functional: PBE
Structure: relaxed

a = 5.783 Å, b = 5.331 Å, c = 5.783 Å
α = 90.00°, β = 90.00°, γ = 90.00°
Each line ends with the local moment (μB).
Fractional positions:
Cl  0.500  0.500  0.500  -0.01
La  0.500  0.000  0.000  0.10
La  0.000  0.000  0.500  0.15
Sc  0.000  0.000  0.000  0.35
In  0.000  0.500  0.000  0.04

Calculated total energy (eV per atom): -4.073
Total moment (μB/f.u.): 0.88
Symmetry: P4/mmm (123)